The following is a PBE calculation of a relaxed RbSb2Cl8 crystal, from Alexandria.

Lattice parameters (Å, degrees): 5.3070 8.0926 8.0926 114.71 90.08 90.08
With the nearest neighbours (Å) after each atom.
Atoms (fractional coordinates):
1 Rb 0.5000 0.0000 0.0000  10 Cl 3.45-3.63
2 Sb 0.0000 0.2855 0.7145  4 Cl 2.59-2.69
3 Sb 0.0000 0.7145 0.2855  4 Cl 2.59-2.69
4 Cl 0.9988 0.9520 0.6773  1 Sb 2.59
5 Cl 0.9988 0.6773 0.9520  1 Sb 2.59
6 Cl 0.2517 0.5002 0.5002  2 Cl 2.64-2.67
7 Cl 0.5000 0.7470 0.2530  2 Sb 2.69
8 Cl 0.5000 0.2530 0.7470  2 Sb 2.69
9 Cl 0.7483 0.4998 0.4998  2 Cl 2.64-2.67
10 Cl 0.0012 0.3227 0.0480  1 Sb 2.59
11 Cl 0.0012 0.0480 0.3227  1 Sb 2.59

Values from the calculation:
Symmetry ... C2/m
Volume ... 28.70 A^3/atom
Crystal system ... monoclinic
Magnetization ... 0.00 μB/cell
ΔE to the lowest computed polymorph ... 35 meV/atom
Energy ... -3.103 eV per atom
Formation energy from raw total energies ... -0.92 eV per atom